1.
Compound: HgB2O
Source: Alexandria
Functional: PBEsol
Structure: relaxed

Summary:
The value obtained for the electronic total energy is -12.69 eV for the cell shown. The raw formation energy is 7.16 eV per formula unit. The space group is Fm-3m, No. 225.

Unit cell a=4.0273 b=4.0273 c=4.0273 alpha=60.00 beta=60.00 gamma=60.00
Positions (direct):
Hg 0.0000 0.0000 0.0000
B 0.2500 0.2500 0.2500
B 0.7500 0.7500 0.7500
O 0.5000 0.5000 0.5000

=====

2.
Compound: HgB3O
Source: Alexandria
Functional: PBEsol
Structure: relaxed

Summary:
The value obtained for the electronic total energy is -18.39 eV for the cell shown. The raw formation energy is 8.48 eV per formula unit. The space group is Pm-3m, No. 221.

Unit cell a=3.7241 b=3.7241 c=3.7241 alpha=90.00 beta=90.00 gamma=90.00
Positions (direct):
Hg 0.0000 0.0000 0.0000
B 0.0000 0.5000 0.5000
B 0.5000 0.0000 0.5000
B 0.5000 0.5000 0.0000
O 0.5000 0.5000 0.5000

=====

3.
Compound: Hg3BOs
Source: Alexandria
Functional: PBEsol
Structure: relaxed

Summary:
The value obtained for the electronic total energy is -12.02 eV for the cell shown. The space group is Pm-3m, No. 221. As for the formation enthalpy at 0 K: 8.92 eV/f.u.

Unit cell a=5.1415 b=5.1415 c=5.1415 alpha=90.00 beta=90.00 gamma=90.00
Positions (direct):
Hg 0.0000 0.0000 0.5000
Hg 0.0000 0.5000 0.0000
Hg 0.5000 0.0000 0.0000
B 0.5000 0.5000 0.5000
Os 0.0000 0.0000 0.0000

=====

Question: What is the electronic total energy in the first record?
Answer: -12.69 eV for the cell shown